No. 1
The following is a DFT calculation (GGA-PBE) of an optimized crystal structure of CsFeNi3.

```
CsFeNi3
1.0
4.764 0.000 0.000
0.000 4.764 0.000
0.000 0.000 4.764
Cs Fe Ni
1 1 3
Cartesian
0.000 0.000 0.000
2.382 2.382 2.382
0.000 0.000 2.382
0.000 2.382 0.000
2.382 0.000 0.000
```

The value obtained for the final energy is -14.70 eV per formula unit. The theoretical density is 5.6 g/cm³. The calculation puts the magnetic moment at 3.83 μB per formula unit. The formation enthalpy at 0 K is 2.39 eV/atom. As for the space group: Pm-3m.



No. 2
The following is a DFT calculation (GGA-PBE) of an optimized crystal structure of CsFe2NiSe4.

```
CsFe2NiSe4
1.0
-1.851 4.203 6.670
1.851 -4.203 6.670
1.851 4.203 -6.670
Cs Fe Ni Se
1 2 1 4
Cartesian
0.000 0.000 0.000
1.851 0.000 4.958
0.000 4.203 1.712
0.000 0.000 6.670
1.851 2.630 -1.839
1.851 2.630 1.839
0.000 1.573 4.831
0.000 1.573 8.509
```

The value obtained for the final energy is -40.04 eV per formula unit. The value obtained for the uncorrected formation energy is -2.54 eV/f.u. The theoretical density is 5.0 g/cm³. The calculation puts the magnetic moment at 6.38 μB per formula unit. As for the space group: Immm.



Which of these has the lowest theoretical density? CsFe2NiSe4